[1]
First-principles (PBE-GGA) data for a relaxed structure of PuNp3U2As6, as listed in Alexandria via LeMat-Bulk.

Summary:
Density ... 10.6 Mg/m³
Electronic total energy ... -224.78 eV for the cell shown
Total magnetization ... 27.49 μB per cell
N(E_F) ... 47.2 states/eV/f.u.

a b c (Å): 7.0601 12.4008 7.1220
angles (deg): 90.00 109.79 90.00
Closest atoms and distances in Å follow each position.
Space group C2/m (No. 12)
Symmetry-distinct sites (fractional):
Pu  0.0000  0.0000  0.0000 x2  6 As 2.91
Np  0.0000  0.1661  0.5000 x4  6 As 2.90-2.91
Np  0.0000  0.5000  0.5000 x2  6 As 2.89-2.92
U  0.0000  0.3333  0.0000 x4  6 As 2.89-2.90
As  0.2480  0.5000  0.2491 x4  3 Np 2.89-2.91, 2 U 2.90, 1 Pu 2.91
As  0.2501  0.1680  0.2487 x8  2 U 2.89, 3 Np 2.90-2.92, 1 Pu 2.91

***

[2]
First-principles (PBE-GGA) data for a relaxed structure of K3Na3Sn8, as listed in Alexandria via LeMat-Bulk.

Summary:
Density ... 4.2 Mg/m³
Electronic total energy ... -83.53 eV for the cell shown
Total magnetization ... 0.00 μB per cell
N(E_F) ... 6.6 states/eV/f.u.

a b c (Å): 4.9111 11.4748 16.1153
angles (deg): 90.00 90.00 90.00
Closest atoms and distances in Å follow each position.
Space group Immm (No. 71)
Symmetry-distinct sites (fractional):
K  0.0000  0.0000  0.0000 x2  12 Sn 3.96-4.09, 4 Na 4.03
K  0.0000  0.0000  0.3014 x4  8 Sn 3.54-3.61
Na  0.0000  0.2218  0.5000 x4  6 Sn 3.28-3.32, 2 Na 3.54
Na  0.0000  0.5000  0.0000 x2  4 Sn 3.33, 4 Na 3.54
Sn  0.0000  0.2846  0.1389 x8  3 Sn 3.04-3.09, 3 Na 3.32-3.33
Sn  0.0000  0.3618  0.3222 x8  4 Sn 3.04-3.17, 1 Na 3.28

***

[3]
First-principles (PBE-GGA) data for a relaxed structure of AcEr2Tl2, as listed in Alexandria via LeMat-Bulk.

Summary:
Density ... 10.1 Mg/m³
Electronic total energy ... -38.14 eV for the cell shown
Total magnetization ... 0.00 μB per cell
N(E_F) ... 5.8 states/eV/f.u.

a b c (Å): 6.6672 6.7576 8.2651
angles (deg): 75.65 71.95 65.74
Closest atoms and distances in Å follow each position.
Space group P-1 (No. 2)
Symmetry-distinct sites (fractional):
Ac  0.1022  0.3721  0.2524 x2  6 Tl 3.34-3.64, 1 Er 3.72
Er  0.2957  0.9601  0.9203 x2  4 Tl 3.11-3.33
Er  0.4409  0.7903  0.4819 x2  4 Tl 3.19-3.26, 1 Er 3.34
Tl  0.0269  0.8646  0.3273 x2  4 Er 3.11-3.33, 2 Ac 3.34-3.45
Tl  0.4169  0.4577  0.8418 x2  4 Er 3.19-3.33, 2 Tl 3.38-3.48, 2 Ac 3.44

***

[4]
First-principles (PBE-GGA) data for a relaxed structure of Zn3SbCl, as listed in Alexandria via LeMat-Bulk.

Summary:
Density ... 3.9 Mg/m³
Uncorrected formation energy ... 102 meV per atom
Total magnetization ... 0.00 μB per cell
N(E_F) ... 1.1 states/eV/f.u.
ΔE to the lowest computed polymorph ... 0.00 kcal/mol of atoms

a b c (Å): 5.3391 5.3391 5.3391
angles (deg): 90.00 90.00 90.00
Closest atoms and distances in Å follow each position.
Space group Pm-3m (No. 221)
Symmetry-distinct sites (fractional):
Zn  0.0000  0.0000  0.5000 x3  2 Sb 2.67
Sb  0.0000  0.0000  0.0000 x1  6 Zn 2.67
Cl  0.5000  0.5000  0.5000 x1  12 Zn 3.78

***

[5]
First-principles (PBE-GGA) data for a relaxed structure of PmAlAg4, as listed in Alexandria via LeMat-Bulk.

Summary:
Density ... 8.1 Mg/m³
Electronic total energy ... -41.58 eV for the cell shown
Total magnetization ... 0.00 μB per cell
N(E_F) ... 3.1 states/eV/f.u.

a b c (Å): 7.8967 4.1440 7.5585
angles (deg): 90.00 90.00 90.00
Closest atoms and distances in Å follow each position.
Space group Pmma (No. 51)
Symmetry-distinct sites (fractional):
Pm  0.2500  0.0000  0.1182 x2  1 Al 3.04, 6 Ag 3.23
Al  0.2500  0.0000  0.7154 x2  6 Ag 2.56-2.68
Ag  0.0000  0.0000  0.5000 x2  2 Al 2.56
Ag  0.0573  0.5000  0.8179 x4  2 Al 2.68, 1 Ag 2.90
Ag  0.2500  0.5000  0.4460 x2  8 Ag 2.89-3.20, 2 Al 2.90, 2 Pm 3.23

***

[6]
First-principles (PBE-GGA) data for a relaxed structure of NdErCI, as listed in Alexandria via LeMat-Bulk.

Summary:
Density ... 7.9 Mg/m³
Uncorrected formation energy ... -716 meV per atom
Total magnetization ... 0.01 μB per cell
N(E_F) ... 2.3 states/eV/f.u.

a b c (Å): 3.8013 3.8013 22.7210
angles (deg): 90.00 90.00 120.00
Closest atoms and distances in Å follow each position.
Space group R3m (No. 160, hexagonal axes)
Symmetry-distinct sites (fractional):
Nd  0.0000  0.0000  0.0000 x3  3 C 2.64
Er  0.0000  0.0000  0.2188 x3  3 C 2.47
C  0.0000  0.0000  0.6023 x3  3 Er 2.47, 3 Nd 2.64
I  0.0000  0.0000  0.7807 x3  3 Er 3.24, 3 Nd 3.39

***

[7]
First-principles (PBE-GGA) data for a relaxed structure of RhWCl2, as listed in Alexandria via LeMat-Bulk.

Summary:
Density ... 9.2 Mg/m³
Uncorrected formation energy ... 579 meV per atom
Total magnetization ... 0.00 μB per cell
N(E_F) ... 3.1 states/eV/f.u.
ΔE to the lowest computed polymorph ... 17.78 kcal/mol of atoms

a b c (Å): 2.9621 4.2175 5.2067
angles (deg): 90.00 94.76 90.00
Closest atoms and distances in Å follow each position.
Space group P2/m (No. 10)
Symmetry-distinct sites (fractional):
Rh  0.0000  0.0000  0.0000 x1  4 Cl 2.61, 2 W 2.89
W  0.5000  0.0000  0.5000 x1  4 Cl 2.51
Cl  0.2969  0.5000  0.2569 x2  2 W 2.51, 2 Rh 2.61, 1 Cl 2.71

***

[8]
First-principles (PBE-GGA) data for a relaxed structure of BeCr2Cu, as listed in Alexandria via LeMat-Bulk.

Summary:
Density ... 6.8 Mg/m³
Electronic total energy ... -53.17 eV for the cell shown
Total magnetization ... 0.00 μB per cell
N(E_F) ... 2.3 states/eV/f.u.

a b c (Å): 3.1983 3.4280 7.8911
angles (deg): 90.00 90.00 90.00
Closest atoms and distances in Å follow each position.
Space group Immm (No. 71)
Symmetry-distinct sites (fractional):
Be  0.0000  0.0000  0.0000 x2  4 Cu 2.34, 4 Cr 2.52
Cr  0.0000  0.5000  0.2524 x4  4 Cr 2.34, 2 Be 2.52, 4 Cu 2.55-2.60
Cu  0.0000  0.0000  0.5000 x2  4 Be 2.34, 8 Cr 2.55-2.60

***

> Which value of total magnetization does entry 5 give?

0.00 μB per cell

***

> Among the records above, which one has the lowest density?

Zn3SbCl

***

> Look up the N(E_F) of the first one.

47.2 states/eV/f.u.